# 1
This record from the Alexandria database describes an optimized crystal structure of TbGd4Ho. The functional is PBE.

Cell lengths 6.5682, 6.5682, 6.5682 Å; angles 60.00, 60.00, 60.00 degrees
Each line ends with the local moment (μB).
Positions (direct):
Gd 0.6251 0.6251 0.1248  7.12
Gd 0.6251 0.1248 0.6251  7.12
Gd 0.6251 0.6251 0.6251  7.12
Gd 0.1248 0.6251 0.6251  7.12
Tb 0.2500 0.2500 0.2500  -0.20
Ho 0.0000 0.0000 0.0000  -0.19

V = 33.395 Å³ per atom
theoretical density = 7.9 g cm⁻³
formation enthalpy at 0 K = 1.54 eV per formula unit
total DFT energy (no corrections) = -63.99 eV/cell
D(E_F) = 1.978 states/eV/atom
M_tot = 28.5 μB/f.u.


# 2
This record from the Alexandria database describes an optimized crystal structure of BaEuPb2. The functional is PBE.

Cell lengths 4.3022, 4.3022, 7.8074 Å; angles 90.00, 90.00, 90.00 degrees
Each line ends with the local moment (μB).
Positions (direct):
Pb 0.0000 0.0000 0.7875  0.00
Pb 0.0000 0.0000 0.2125  0.00
Eu 0.5000 0.5000 0.0000  6.84
Ba 0.5000 0.5000 0.5000  -0.01

V = 36.127 Å³ per atom
theoretical density = 8.1 g cm⁻³
formation enthalpy at 0 K = -2.04 eV per formula unit
total DFT energy (no corrections) = -21.66 eV/cell
D(E_F) = 2.800 states/eV/atom
M_tot = 7.0 μB/f.u.


# 3
This record from the Alexandria database describes an optimized crystal structure of Rb4Cd3AgBr12. The functional is PBE.

Cell lengths 9.6098, 9.6098, 9.6098 Å; angles 109.47, 109.47, 109.47 degrees
Positions (direct):
Rb 0.5000 0.5000 0.5000
Rb 0.0000 0.0000 0.5000
Rb 0.5000 0.0000 0.0000
Rb 0.0000 0.5000 0.0000
Cd 0.5000 0.0000 0.5000
Cd 0.5000 0.5000 0.0000
Cd 0.0000 0.5000 0.5000
Ag 0.0000 0.0000 0.0000
Br 0.2500 0.5000 0.7500
Br 0.7492 0.0000 0.7492
Br 0.2508 0.0000 0.2508
Br 0.7500 0.5000 0.2500
Br 0.7492 0.7492 0.0000
Br 0.2508 0.2508 0.0000
Br 0.7500 0.2500 0.5000
Br 0.2500 0.7500 0.5000
Br 0.5000 0.2500 0.7500
Br 0.0000 0.7492 0.7492
Br 0.5000 0.7500 0.2500
Br 0.0000 0.2508 0.2508

V = 34.158 Å³ per atom
theoretical density = 4.2 g cm⁻³
ΔE_f (raw) = -1.0866 eV per atom
total DFT energy (no corrections) = -51.27 eV/cell
D(E_F) = 0.423 states/eV/atom
M_tot = 0.0 μB/f.u.


# 4
This record from the Alexandria database describes an optimized crystal structure of GaAsAuC. The functional is PBE.

Cell lengths 3.2493, 3.0899, 7.1563 Å; angles 90.00, 102.48, 90.00 degrees
Positions (direct):
As 0.4437 0.5000 0.0125
Au 0.6383 0.5000 0.3807
C 0.3646 0.0000 0.8455
Ga 0.7817 0.0000 0.6705

V = 17.538 Å³ per atom
theoretical density = 8.4 g cm⁻³
energy relative to the lowest polymorph listed for this composition = 33.4 meV per atom
formation enthalpy at 0 K = 1.31 eV per formula unit
total DFT energy (no corrections) = -18.86 eV/cell
D(E_F) = 0.180 states/eV/atom
M_tot = 0.0 μB/f.u.


# 5
This record from the Alexandria database describes an optimized crystal structure of RbTaNbF2. The functional is PBE.

Cell lengths 4.3537, 7.6864, 4.3537 Å; angles 90.00, 90.00, 90.00 degrees
Each line ends with the local moment (μB).
Positions (direct):
Nb 0.0000 0.0000 0.0000  2.31
F 0.0000 0.0000 0.5000  0.01
F 0.5000 0.0000 0.0000  0.02
Rb 0.0000 0.5000 0.0000  0.10
Ta 0.5000 0.5000 0.5000  2.13

V = 29.139 Å³ per atom
theoretical density = 4.5 g cm⁻³
ΔE_f (raw) = 0.4914 eV per atom
total DFT energy (no corrections) = -24.18 eV/cell
D(E_F) = 1.543 states/eV/atom
M_tot = 6.6 μB/f.u.


# 6
This record from the Alexandria database describes an optimized crystal structure of AgTe2Rh. The functional is PBE.

Cell lengths 6.3269, 6.3269, 7.3191 Å; angles 64.39, 64.39, 90.00 degrees
Positions (direct):
Te 0.5923 0.1250 0.2500
Te 0.1577 0.6250 0.2500
Te 0.3750 0.4077 0.7500
Te 0.8750 0.8423 0.7500
Rh 0.5000 0.5000 0.0000
Rh 0.2500 0.7500 0.5000
Ag 0.0000 0.0000 0.0000
Ag 0.7500 0.2500 0.5000

V = 28.984 Å³ per atom
theoretical density = 6.7 g cm⁻³
ΔE_f (raw) = -0.0231 eV per atom
total DFT energy (no corrections) = -33.16 eV/cell
D(E_F) = 0.729 states/eV/atom
M_tot = 0.0 μB/f.u.


# 7
This record from the Alexandria database describes an optimized crystal structure of La2Dy3Tm8. The functional is PBE.

Cell lengths 5.4413, 7.5812, 11.1893 Å; angles 109.81, 90.00, 90.00 degrees
Positions (direct):
La 0.4995 0.2397 0.4792
La 0.5005 0.7603 0.5208
Dy 0.5000 0.0000 0.0000
Dy 0.0000 0.2896 0.0001
Dy 0.0000 0.7104 0.9999
Tm 0.0003 0.6571 0.3141
Tm 0.9997 0.3429 0.6859
Tm 0.9999 0.1234 0.2469
Tm 0.0001 0.8766 0.7531
Tm 0.4999 0.6075 0.7881
Tm 0.4999 0.1803 0.7881
Tm 0.5001 0.8197 0.2119
Tm 0.5001 0.3925 0.2119

V = 33.405 Å³ per atom
theoretical density = 8.1 g cm⁻³
formation enthalpy at 0 K = 3.28 eV per formula unit
total DFT energy (no corrections) = -56.16 eV/cell
D(E_F) = 1.700 states/eV/atom
M_tot = 0.0 μB/f.u.


# 8
This record from the Alexandria database describes an optimized crystal structure of MgScRhO4. The functional is PBE.

Cell lengths 6.2590, 6.1084, 6.2255 Å; angles 120.64, 90.00, 120.82 degrees
Positions (direct):
Mg 0.8850 0.7699 0.1350
Mg 0.1150 0.2301 0.8650
Sc 0.5000 0.0000 0.5000
Sc 0.5000 0.0000 0.0000
Rh 0.5000 0.5000 0.5000
Rh 0.0000 0.5000 0.5000
O 0.7535 0.5070 0.7286
O 0.2743 0.0033 0.2516
O 0.7289 0.0033 0.2516
O 0.7535 0.5070 0.2785
O 0.2465 0.4930 0.7215
O 0.7257 0.9967 0.7484
O 0.2711 0.9967 0.7484
O 0.2465 0.4930 0.2714

V = 11.752 Å³ per atom
theoretical density = 4.8 g cm⁻³
ΔE_f (raw) = -2.2789 eV per atom
total DFT energy (no corrections) = -102.13 eV/cell
M_tot = 0.0 μB/f.u.


# 9
This record from the Alexandria database describes an optimized crystal structure of V3ZnSn. The functional is PBE.

Cell lengths 5.1150, 5.1150, 5.1150 Å; angles 90.00, 90.00, 90.00 degrees
Each line ends with the local moment (μB).
Positions (direct):
Zn 0.5000 0.5000 0.5000  -0.01
Sn 0.0000 0.0000 0.0000  -0.07
V 0.0000 0.5000 0.0000  2.71
V 0.0000 0.0000 0.5000  2.71
V 0.5000 0.0000 0.0000  2.71

V = 26.765 Å³ per atom
theoretical density = 4.2 g cm⁻³
energy relative to the lowest polymorph listed for this composition = 577.4 meV per atom
formation enthalpy at 0 K = 7.68 eV per formula unit
total DFT energy (no corrections) = -24.96 eV/cell
D(E_F) = 1.959 states/eV/atom
M_tot = 10.2 μB/f.u.


# 10
This record from the Alexandria database describes an optimized crystal structure of BaNb2Pt2. The functional is PBE.

Cell lengths 4.4920, 4.4920, 6.5724 Å; angles 70.02, 70.02, 90.00 degrees
Positions (direct):
Nb 0.7500 0.2500 0.5000
Nb 0.2500 0.7500 0.5000
Ba 0.0000 0.0000 0.0000
Pt 0.3768 0.3768 0.2464
Pt 0.6232 0.6232 0.7536

V = 23.221 Å³ per atom
theoretical density = 10.2 g cm⁻³
formation enthalpy at 0 K = -1.23 eV per formula unit
total DFT energy (no corrections) = -35.37 eV/cell
D(E_F) = 1.466 states/eV/atom
M_tot = 0.0 μB/f.u.


# 11
This record from the Alexandria database describes an optimized crystal structure of Y2Al2Cd. The functional is PBE.

Cell lengths 7.1353, 7.1353, 4.6619 Å; angles 90.00, 90.00, 90.00 degrees
Positions (direct):
Y 0.1693 0.6693 0.5000
Y 0.6693 0.8307 0.5000
Y 0.8307 0.3307 0.5000
Y 0.3307 0.1693 0.5000
Al 0.3691 0.8691 0.0000
Al 0.8691 0.6309 0.0000
Al 0.6309 0.1309 0.0000
Al 0.1309 0.3691 0.0000
Cd 0.0000 0.0000 0.0000
Cd 0.5000 0.5000 0.0000

V = 23.735 Å³ per atom
theoretical density = 4.8 g cm⁻³
formation enthalpy at 0 K = -2.14 eV per formula unit
total DFT energy (no corrections) = -46.94 eV/cell
D(E_F) = 0.372 states/eV/atom
M_tot = 0.0 μB/f.u.


# 12
This record from the Alexandria database describes an optimized crystal structure of KP4Pd4. The functional is PBE.

Cell lengths 4.2373, 8.9061, 8.9061 Å; angles 90.00, 90.00, 90.00 degrees
Positions (direct):
K 0.0000 0.0000 0.0000
K 0.5000 0.5000 0.5000
P 0.5493 0.8214 0.2361
P 0.5493 0.1786 0.7639
P 0.0493 0.7361 0.6786
P 0.9507 0.3214 0.7361
P 0.9507 0.6786 0.2639
P 0.4507 0.2361 0.1786
P 0.4507 0.7639 0.8214
P 0.0493 0.2639 0.3214
Pd 0.2967 0.3431 0.9442
Pd 0.7967 0.5558 0.8431
Pd 0.2967 0.6569 0.0558
Pd 0.2033 0.1569 0.5558
Pd 0.7033 0.9442 0.6569
Pd 0.2033 0.8431 0.4442
Pd 0.7967 0.4442 0.1569
Pd 0.7033 0.0558 0.3431

V = 18.672 Å³ per atom
theoretical density = 5.8 g cm⁻³
formation enthalpy at 0 K = -2.91 eV per formula unit
total DFT energy (no corrections) = -92.83 eV/cell
D(E_F) = 0.507 states/eV/atom
M_tot = 0.0 μB/f.u.


# 13
This record from the Alexandria database describes an optimized crystal structure of SrHoSi3. The functional is PBE.

Cell lengths 3.9344, 4.4891, 12.6660 Å; angles 100.21, 90.00, 90.00 degrees
Positions (direct):
Sr 0.2500 0.0733 0.1467
Sr 0.7500 0.9267 0.8533
Ho 0.2500 0.7966 0.5932
Ho 0.7500 0.2034 0.4068
Si 0.2500 0.3765 0.7530
Si 0.7500 0.6235 0.2470
Si 0.2500 0.4743 0.9486
Si 0.7500 0.5257 0.0514
Si 0.7500 0.3189 0.6378
Si 0.2500 0.6811 0.3622

V = 22.016 Å³ per atom
theoretical density = 5.1 g cm⁻³
ΔE_f (raw) = -0.5202 eV per atom
total DFT energy (no corrections) = -50.26 eV/cell
D(E_F) = 0.505 states/eV/atom
M_tot = 0.0 μB/f.u.


# 14
This record from the Alexandria database describes an optimized crystal structure of CaCdTc2Au. The functional is PBE.

Cell lengths 5.0981, 5.1354, 5.0981 Å; angles 90.00, 90.00, 90.00 degrees
Each line ends with the local moment (μB).
Positions (direct):
Ca 0.5000 0.5000 0.5000  -0.03
Au 0.0000 0.0000 0.0000  0.18
Tc 0.0000 0.0000 0.5000  2.72
Tc 0.5000 0.0000 0.0000  2.14
Cd 0.0000 0.5000 0.0000  -0.03

V = 26.694 Å³ per atom
theoretical density = 6.8 g cm⁻³
formation enthalpy at 0 K = 6.10 eV per formula unit
total DFT energy (no corrections) = -20.83 eV/cell
D(E_F) = 1.172 states/eV/atom
M_tot = 5.5 μB/f.u.


# 15
This record from the Alexandria database describes an optimized crystal structure of ZrU2NbP4. The functional is PBE.

Cell lengths 3.7986, 6.5753, 6.5339 Å; angles 109.60, 90.00, 90.00 degrees
Each line ends with the local moment (μB).
Positions (direct):
Zr 0.5000 0.5000 0.0000  -0.02
U 0.5000 0.0000 0.5000  1.75
U 0.0000 0.5000 0.5000  1.85
Nb 0.0000 0.0000 0.0000  -0.11
P 0.5000 0.2396 0.2335  -0.03
P 0.5000 0.7604 0.7665  -0.03
P 0.0000 0.2498 0.7639  -0.03
P 0.0000 0.7502 0.2361  -0.03

V = 19.217 Å³ per atom
theoretical density = 8.5 g cm⁻³
formation enthalpy at 0 K = -8.54 eV per formula unit
total DFT energy (no corrections) = -71.38 eV/cell
D(E_F) = 1.123 states/eV/atom
M_tot = 3.7 μB/f.u.


# 16
This record from the Alexandria database describes an optimized crystal structure of NaRe2Os2. The functional is PBE.

Cell lengths 7.8504, 7.8504, 2.6992 Å; angles 90.00, 90.00, 90.00 degrees
Positions (direct):
Re 0.3799 0.8799 0.0000
Re 0.8799 0.6201 0.0000
Re 0.6201 0.1201 0.0000
Re 0.1201 0.3799 0.0000
Os 0.1669 0.6669 0.5000
Os 0.6669 0.8331 0.5000
Os 0.8331 0.3331 0.5000
Os 0.3331 0.1669 0.5000
Na 0.0000 0.0000 0.0000
Na 0.5000 0.5000 0.0000

V = 16.635 Å³ per atom
theoretical density = 15.5 g cm⁻³
energy relative to the lowest polymorph listed for this composition = 0.0 meV per atom
formation enthalpy at 0 K = 1.66 eV per formula unit
total DFT energy (no corrections) = -94.03 eV/cell
D(E_F) = 0.812 states/eV/atom
M_tot = 0.0 μB/f.u.


# 17
This record from the Alexandria database describes an optimized crystal structure of Si2AsRh2. The functional is PBE.

Cell lengths 7.2430, 7.2430, 2.7753 Å; angles 90.00, 90.00, 90.00 degrees
Positions (direct):
As 0.0000 0.0000 0.0000
As 0.5000 0.5000 0.0000
Rh 0.3550 0.8550 0.0000
Rh 0.8550 0.6450 0.0000
Rh 0.6450 0.1450 0.0000
Rh 0.1450 0.3550 0.0000
Si 0.1475 0.6475 0.5000
Si 0.6475 0.8525 0.5000
Si 0.8525 0.3525 0.5000
Si 0.3525 0.1475 0.5000

V = 14.559 Å³ per atom
theoretical density = 7.7 g cm⁻³
ΔE_f (raw) = -0.4106 eV per atom
total DFT energy (no corrections) = -64.50 eV/cell
D(E_F) = 0.432 states/eV/atom
M_tot = 0.0 μB/f.u.


# 18
This record from the Alexandria database describes an optimized crystal structure of TlSi2Au. The functional is PBE.

Cell lengths 5.3122, 5.3122, 4.2778 Å; angles 69.67, 69.67, 116.07 degrees
Positions (direct):
Au 0.0000 0.5000 0.5000
Si 0.0000 0.0000 0.0000
Si 0.5000 0.5000 0.0000
Tl 0.5000 0.0000 0.5000

V = 20.454 Å³ per atom
theoretical density = 9.3 g cm⁻³
ΔE_f (raw) = 0.4318 eV per atom
energy relative to the lowest polymorph listed for this composition = 261.7 meV per atom
total DFT energy (no corrections) = -14.76 eV/cell
D(E_F) = 0.322 states/eV/atom
M_tot = 0.0 μB/f.u.


# 19
This record from the Alexandria database describes an optimized crystal structure of CrCoRh3. The functional is PBE.

Cell lengths 4.4154, 4.4154, 4.4154 Å; angles 90.00, 90.00, 90.00 degrees
Each line ends with the local moment (μB).
Positions (direct):
Co 0.5000 0.5000 0.5000  2.18
Rh 0.0000 0.5000 0.0000  0.08
Rh 0.0000 0.0000 0.5000  0.06
Rh 0.5000 0.0000 0.0000  0.19
Cr 0.0000 0.0000 0.0000  0.05

V = 17.217 Å³ per atom
theoretical density = 8.1 g cm⁻³
energy relative to the lowest polymorph listed for this composition = 0.0 meV per atom
formation enthalpy at 0 K = 5.62 eV per formula unit
total DFT energy (no corrections) = -33.16 eV/cell
D(E_F) = 1.336 states/eV/atom
M_tot = 2.6 μB/f.u.


# 20
This record from the Alexandria database describes an optimized crystal structure of Na5Sr3Pb2. The functional is PBE.

Cell lengths 6.9599, 11.0003, 11.0003 Å; angles 90.55, 71.56, 71.56 degrees
Positions (direct):
Na 0.2500 0.5000 0.5000
Na 0.7500 0.5000 0.5000
Na 0.5091 0.7409 0.7409
Na 0.9909 0.2591 0.2591
Na 0.4909 0.2591 0.2591
Na 0.0091 0.7409 0.7409
Na 0.1023 0.5572 0.2381
Na 0.8977 0.4428 0.7619
Na 0.6023 0.2381 0.5572
Na 0.3977 0.7619 0.4428
Sr 0.2500 0.0000 0.0000
Sr 0.7500 0.0000 0.0000
Sr 0.3607 0.3685 0.9101
Sr 0.6393 0.6315 0.0899
Sr 0.8607 0.9101 0.3685
Sr 0.1393 0.0899 0.6315
Pb 0.1431 0.7117 0.0022
Pb 0.8569 0.2883 0.9978
Pb 0.6431 0.0022 0.7117
Pb 0.3569 0.9978 0.2883

V = 37.613 Å³ per atom
theoretical density = 3.5 g cm⁻³
formation enthalpy at 0 K = -1.68 eV per formula unit
total DFT energy (no corrections) = -41.48 eV/cell
D(E_F) = 0.468 states/eV/atom
M_tot = 0.0 μB/f.u.